1.
Compound: MoAu2Cl
Source: Alexandria
Functional: GGA-PBE
Structure: relaxed

The space group is P4/mmm (No. 123) and the conventional cell measures 2.988, 2.988 and 8.094 Å, with angles of 90.00, 90.00 and 90.00 degrees. The distinct sites, in fractional coordinates, are Mo at (0.000, 0.000, 0.000), Au at (0.500, 0.500, 0.233) and Cl at (0.000, 0.000, 0.500).

The uncorrected formation energy is 0.291 eV/atom. The calculation puts the volume at 18.06 Å³/atom. For the energy above the most stable polymorph in this dataset, the calculation gives 139 meV/atom. The density of states at the Fermi level is 2.59 states/eV per cell.

---

2.
Compound: MoAu2Cl
Source: Alexandria
Functional: GGA-PBE
Structure: relaxed

The space group is Cm (No. 8) and the conventional cell measures 8.243, 2.890 and 6.215 Å, with angles of 90.00, 99.31 and 90.00 degrees. The distinct sites, in fractional coordinates, are Mo at (0.000, 0.000, 0.000), Au at (0.014, 0.500, 0.439), Au at (0.267, 0.000, 0.706) and Cl at (0.237, 0.500, 0.137).

The uncorrected formation energy is 0.361 eV/atom. The calculation puts the volume at 18.27 Å³/atom. For the energy above the most stable polymorph in this dataset, the calculation gives 210 meV/atom. The density of states at the Fermi level is 4.07 states/eV per cell.

---

3.
Compound: MoAu2Cl
Source: Alexandria
Functional: GGA-PBE
Structure: relaxed

The space group is Imm2 (No. 44) and the conventional cell measures 2.868, 4.564 and 13.676 Å, with angles of 90.00, 90.00 and 90.00 degrees. The distinct sites, in fractional coordinates, are Mo at (0.000, 0.000, 0.000), Au at (0.000, 0.000, 0.555), Au at (0.000, 0.500, 0.679) and Cl at (0.000, 0.500, 0.358).

The uncorrected formation energy is 0.151 eV/atom. The calculation puts the volume at 22.38 Å³/atom. For the energy above the most stable polymorph in this dataset, the calculation gives 0 meV/atom. The density of states at the Fermi level is 5.61 states/eV per cell.

---

Question: Which value of uncorrected formation energy does entry 1 give?
Answer: 0.291 eV/atom